Entry 1:
Here is Y5Pt2O12 after structural relaxation from Alexandria via LeMat-Bulk. Energies are from PBE.

abc: 12.495 5.995 7.258
angles: 90.00 107.09 90.00
Space group C2/m (No. 12)
Inequivalent atoms, fractional coordinates:
Y (0.000, 0.000, 0.000) (multiplicity 2)
Y (0.194, 0.500, 0.333) (multiplicity 4)
Y (0.201, 0.500, 0.861) (multiplicity 4)
Pt (0.000, 0.248, 0.500) (multiplicity 4)
O (0.000, 0.000, 0.317) (multiplicity 4)
O (0.000, 0.500, 0.312) (multiplicity 4)
O (0.151, 0.249, 0.073) (multiplicity 8)
O (0.168, 0.265, 0.586) (multiplicity 8)

Properties
**Raw total energy**: -8.00 eV per atom
**DOS(E_F)**: 21.68 states/eV per cell
**Formation energy without anion corrections**: -2.529 eV/atom

Entry 2:
Here is YPt2O6 after structural relaxation from Alexandria via LeMat-Bulk. Energies are from PBE.

abc: 5.2840 5.2840 4.8279
angles: 90.00 90.00 120.00
Space group P-31m (No. 162)
Inequivalent atoms, fractional coordinates:
Y (0.0000, 0.0000, 0.0000) (multiplicity 1)
Pt (0.3333, 0.6667, 0.5000) (multiplicity 2)
O (0.0000, 0.3548, 0.7236) (multiplicity 6)

Properties
**Raw total energy**: -6.67 eV per atom
**DOS(E_F)**: 9.03 states/eV per cell
**Formation energy without anion corrections**: -1.306 eV/atom

Entry 3:
Here is Y6Pt2O after structural relaxation from Alexandria via LeMat-Bulk. Energies are from PBE.

abc: 6.463 7.046 11.419
angles: 90.00 123.05 90.00
Space group P2_1/c (No. 14)
Inequivalent atoms, fractional coordinates:
Y (0.124, 0.028, 0.244) (multiplicity 4)
Y (0.238, 0.688, 0.059) (multiplicity 4)
Y (0.369, 0.180, 0.058) (multiplicity 4)
Pt (0.299, 0.100, 0.754) (multiplicity 4)
O (0.000, 0.000, 0.000) (multiplicity 2)

Properties
**Raw total energy**: -7.47 eV per atom
**DOS(E_F)**: 17.56 states/eV per cell
**Formation energy without anion corrections**: -1.267 eV/atom

Entry 4:
Here is Y3PtO after structural relaxation from Alexandria via LeMat-Bulk. Energies are from PBE.

abc: 4.683 4.683 4.683
angles: 90.00 90.00 90.00
Space group Pm-3m (No. 221)
Inequivalent atoms, fractional coordinates:
Y (0.000, 0.000, 0.500) (multiplicity 3)
Pt (0.500, 0.500, 0.500) (multiplicity 1)
O (0.000, 0.000, 0.000) (multiplicity 1)

Properties
**Raw total energy**: -7.62 eV per atom
**DOS(E_F)**: 6.24 states/eV per cell
**Formation energy without anion corrections**: -1.542 eV/atom

Entry 5:
Here is Y4Pt6O19 after structural relaxation from Alexandria via LeMat-Bulk. Energies are from PBE.

abc: 9.071 9.071 9.071
angles: 90.00 90.00 90.00
Space group I23 (No. 197)
Inequivalent atoms, fractional coordinates:
Y (0.148, 0.148, 0.852) (multiplicity 8)
Pt (0.000, 0.341, 0.500) (multiplicity 12)
O (0.000, 0.000, 0.000) (multiplicity 2)
O (0.000, 0.000, 0.333) (multiplicity 12)
O (0.012, 0.321, 0.717) (multiplicity 24)

Properties
**Raw total energy**: -6.87 eV per atom
**DOS(E_F)**: 34.73 states/eV per cell
**Formation energy without anion corrections**: -1.477 eV/atom

Entry 6:
Here is YPt4O2 after structural relaxation from Alexandria via LeMat-Bulk. Energies are from PBE.

abc: 5.010 5.010 11.652
angles: 90.00 90.00 90.00
Space group I4/mmm (No. 139)
Inequivalent atoms, fractional coordinates:
Y (0.000, 0.000, 0.000) (multiplicity 2)
Pt (0.000, 0.000, 0.238) (multiplicity 4)
Pt (0.000, 0.500, 0.000) (multiplicity 4)
O (0.000, 0.000, 0.404) (multiplicity 4)

Properties
**Raw total energy**: -4.73 eV per atom
**DOS(E_F)**: 17.15 states/eV per cell
**Formation energy without anion corrections**: 1.057 eV/atom

Entry 7:
Here is YZnPtO4 after structural relaxation from Alexandria via LeMat-Bulk. Energies are from PBE.

abc: 6.340 6.705 9.018
angles: 90.00 90.00 90.00
Space group Imma (No. 74)
Inequivalent atoms, fractional coordinates:
Y (0.000, 0.000, 0.000) (multiplicity 4)
Zn (0.000, 0.250, 0.381) (multiplicity 4)
Pt (0.250, 0.250, 0.750) (multiplicity 4)
O (0.000, 0.045, 0.743) (multiplicity 8)
O (0.232, 0.250, 0.026) (multiplicity 8)

Properties
**Raw total energy**: -6.43 eV per atom
**DOS(E_F)**: 6.09 states/eV per cell
**Formation energy without anion corrections**: -1.633 eV/atom

Entry 8:
Here is YZrPtO6 after structural relaxation from Alexandria via LeMat-Bulk. Energies are from PBE.

abc: 4.916 4.916 9.917
angles: 90.00 90.00 90.00
Space group P4_2nm (No. 102)
Inequivalent atoms, fractional coordinates:
Y (0.000, 0.000, 0.000) (multiplicity 2)
Zr (0.000, 0.000, 0.664) (multiplicity 2)
Pt (0.000, 0.000, 0.329) (multiplicity 2)
O (0.180, 0.180, 0.488) (multiplicity 4)
O (0.198, 0.198, 0.181) (multiplicity 4)
O (0.213, 0.213, 0.820) (multiplicity 4)

Properties
**Raw total energy**: -7.81 eV per atom
**DOS(E_F)**: 11.94 states/eV per cell
**Formation energy without anion corrections**: -2.162 eV/atom